No. 1
Here is an optimized crystal structure of PaRhI from Alexandria. Energies are from PBE-GGA.

Results
- spin magnetization (μB/atom) = 0.182
- formation energy from raw total energies (eV/f.u.) = -1.8
- uncorrected energy (eV/f.u.) = -20.2

CIF file:
```
data_PaRhI
_space_group_name_H-M_alt 'P -1'
_space_group_IT_number 2
_cell_length_a 4.044
_cell_length_b 5.176
_cell_length_c 10.557
_cell_angle_alpha 92.77
_cell_angle_beta 100.06
_cell_angle_gamma 112.90
loop_
_space_group_symop_operation_xyz
'x,y,z'
'-x,-y,-z'
loop_
_atom_site_label
_atom_site_type_symbol
_atom_site_fract_x
_atom_site_fract_y
_atom_site_fract_z
Pa1 Pa 0.191 0.288 0.101
Rh1 Rh 0.448 0.806 0.100
I1 I 0.255 0.819 0.664
```


No. 2
Here is an optimized crystal structure of Pa2RuI2 from Alexandria. Energies are from PBE-GGA.

Results
- spin magnetization (μB/atom) = 0.170
- formation energy from raw total energies (eV/f.u.) = -3.3
- uncorrected energy (eV/f.u.) = -34.6

CIF file:
```
data_Pa2RuI2
_space_group_name_H-M_alt 'C 1 2/m 1'
_space_group_IT_number 12
_cell_length_a 6.994
_cell_length_b 4.038
_cell_length_c 12.230
_cell_angle_alpha 90.00
_cell_angle_beta 102.38
_cell_angle_gamma 90.00
loop_
_space_group_symop_operation_xyz
'x,y,z'
'-x,-y,-z'
'-x,y,-z'
'x,-y,z'
'x+1/2,y+1/2,z'
'-x+1/2,-y+1/2,-z'
'-x+1/2,y+1/2,-z'
'x+1/2,-y+1/2,z'
loop_
_atom_site_label
_atom_site_type_symbol
_atom_site_fract_x
_atom_site_fract_y
_atom_site_fract_z
Pa1 Pa 0.213 0.000 0.124
Ru1 Ru 0.000 0.500 0.000
I1 I 0.048 0.000 0.684
```


No. 3
Here is an optimized crystal structure of PaS2I from Alexandria. Energies are from PBE-GGA.

Results
- spin magnetization (μB/atom) = 0.000
- formation energy from raw total energies (eV/f.u.) = -5.0
- uncorrected energy (eV/f.u.) = -24.3

CIF file:
```
data_PaS2I
_space_group_name_H-M_alt 'R 3 m'
_space_group_IT_number 160
_space_group_name_Hall 'R 3 -2"'
_cell_length_a 4.3775
_cell_length_b 4.3775
_cell_length_c 23.3756
_cell_angle_alpha 90.00
_cell_angle_beta 90.00
_cell_angle_gamma 120.00
loop_
_atom_site_label
_atom_site_type_symbol
_atom_site_fract_x
_atom_site_fract_y
_atom_site_fract_z
Pa1 Pa 0.0000 0.0000 0.0000
S1 S 0.0000 0.0000 0.3858
S2 S 0.0000 0.0000 0.6338
I1 I 0.0000 0.0000 0.8711
```


No. 4
Here is an optimized crystal structure of Pa4S8I from Alexandria. Energies are from PBE-GGA.

Results
- spin magnetization (μB/atom) = 0.240
- formation energy from raw total energies (eV/f.u.) = -19.0
- uncorrected energy (eV/f.u.) = -91.6

CIF file:
```
data_Pa4S8I
_space_group_name_H-M_alt 'C 1 2/m 1'
_space_group_IT_number 12
_cell_length_a 16.409
_cell_length_b 4.214
_cell_length_c 11.849
_cell_angle_alpha 90.00
_cell_angle_beta 121.80
_cell_angle_gamma 90.00
loop_
_space_group_symop_operation_xyz
'x,y,z'
'-x,-y,-z'
'-x,y,-z'
'x,-y,z'
'x+1/2,y+1/2,z'
'-x+1/2,-y+1/2,-z'
'-x+1/2,y+1/2,-z'
'x+1/2,-y+1/2,z'
loop_
_atom_site_label
_atom_site_type_symbol
_atom_site_fract_x
_atom_site_fract_y
_atom_site_fract_z
Pa1 Pa 0.123 0.000 0.362
Pa2 Pa 0.130 0.500 0.977
S1 S 0.065 0.000 0.815
S2 S 0.088 0.500 0.179
S3 S 0.185 0.500 0.530
S4 S 0.246 0.000 0.117
I1 I 0.000 0.000 0.500
```


No. 5
Here is an optimized crystal structure of PaS2I from Alexandria. Energies are from PBE-GGA.

Results
- spin magnetization (μB/atom) = 0.072
- formation energy from raw total energies (eV/f.u.) = -4.1
- uncorrected energy (eV/f.u.) = -23.4

CIF file:
```
data_PaS2I
_space_group_name_H-M_alt 'P 4/m m m'
_space_group_IT_number 123
_space_group_name_Hall '-P 4 2'
_cell_length_a 3.374
_cell_length_b 3.374
_cell_length_c 10.348
_cell_angle_alpha 90.00
_cell_angle_beta 90.00
_cell_angle_gamma 90.00
loop_
_atom_site_label
_atom_site_type_symbol
_atom_site_fract_x
_atom_site_fract_y
_atom_site_fract_z
Pa1 Pa 0.000 0.000 0.000
S1 S 0.500 0.500 0.146
I1 I 0.000 0.000 0.500
```


No. 6
Here is an optimized crystal structure of Pa2S4I from Alexandria. Energies are from PBE-GGA.

Results
- spin magnetization (μB/atom) = 0.157
- formation energy from raw total energies (eV/f.u.) = -9.9
- uncorrected energy (eV/f.u.) = -47.0

CIF file:
```
data_Pa2S4I
_space_group_name_H-M_alt 'R -3 m'
_space_group_IT_number 166
_space_group_name_Hall '-R 3 2"'
_cell_length_a 4.5521
_cell_length_b 4.5521
_cell_length_c 30.7397
_cell_angle_alpha 90.00
_cell_angle_beta 90.00
_cell_angle_gamma 120.00
loop_
_atom_site_label
_atom_site_type_symbol
_atom_site_fract_x
_atom_site_fract_y
_atom_site_fract_z
Pa1 Pa 0.0000 0.0000 0.1051
S1 S 0.0000 0.0000 0.1964
S2 S 0.0000 0.0000 0.4127
I1 I 0.0000 0.0000 0.0000
```


No. 7
Here is an optimized crystal structure of PaSI2 from Alexandria. Energies are from PBE-GGA.

Results
- spin magnetization (μB/atom) = 0.251
- formation energy from raw total energies (eV/f.u.) = -4.5
- uncorrected energy (eV/f.u.) = -21.2

CIF file:
```
data_PaSI2
_space_group_name_H-M_alt 'C 1 m 1'
_space_group_IT_number 8
_cell_length_a 9.298
_cell_length_b 3.876
_cell_length_c 9.059
_cell_angle_alpha 90.00
_cell_angle_beta 107.04
_cell_angle_gamma 90.00
loop_
_space_group_symop_operation_xyz
'x,y,z'
'x,-y,z'
'x+1/2,y+1/2,z'
'x+1/2,-y+1/2,z'
loop_
_atom_site_label
_atom_site_type_symbol
_atom_site_fract_x
_atom_site_fract_y
_atom_site_fract_z
Pa1 Pa 0.000 0.000 0.000
S1 S 0.206 0.500 0.000
I1 I 0.012 0.500 0.278
I2 I 0.353 0.000 0.722
```


No. 8
Here is an optimized crystal structure of PaSI from Alexandria. Energies are from PBE-GGA.

Results
- spin magnetization (μB/atom) = 0.673
- formation energy from raw total energies (eV/f.u.) = -3.4
- uncorrected energy (eV/f.u.) = -18.6

CIF file:
```
data_PaSI
_space_group_name_H-M_alt 'C 1 2/m 1'
_space_group_IT_number 12
_cell_length_a 16.138
_cell_length_b 4.032
_cell_length_c 6.768
_cell_angle_alpha 90.00
_cell_angle_beta 106.45
_cell_angle_gamma 90.00
loop_
_space_group_symop_operation_xyz
'x,y,z'
'-x,-y,-z'
'-x,y,-z'
'x,-y,z'
'x+1/2,y+1/2,z'
'-x+1/2,-y+1/2,-z'
'-x+1/2,y+1/2,-z'
'x+1/2,-y+1/2,z'
loop_
_atom_site_label
_atom_site_type_symbol
_atom_site_fract_x
_atom_site_fract_y
_atom_site_fract_z
Pa1 Pa 0.249 0.000 0.257
S1 S 0.160 0.000 0.852
I1 I 0.104 0.500 0.315
```


No. 9
Here is an optimized crystal structure of PaSI from Alexandria. Energies are from PBE-GGA.

Results
- spin magnetization (μB/atom) = 0.000
- formation energy from raw total energies (eV/f.u.) = -3.9
- uncorrected energy (eV/f.u.) = -19.0

CIF file:
```
data_PaSI
_space_group_name_H-M_alt 'P 1 21/m 1'
_space_group_IT_number 11
_cell_length_a 3.897
_cell_length_b 3.898
_cell_length_c 13.071
_cell_angle_alpha 90.00
_cell_angle_beta 98.08
_cell_angle_gamma 90.00
loop_
_space_group_symop_operation_xyz
'x,y,z'
'-x,-y,-z'
'-x,y+1/2,-z'
'x,-y+1/2,z'
loop_
_atom_site_label
_atom_site_type_symbol
_atom_site_fract_x
_atom_site_fract_y
_atom_site_fract_z
Pa1 Pa 0.198 0.250 0.390
S1 S 0.303 0.250 0.611
I1 I 0.093 0.250 0.167
```


No. 10
Here is an optimized crystal structure of PaS2I from Alexandria. Energies are from PBE-GGA.

Results
- spin magnetization (μB/atom) = 0.000
- formation energy from raw total energies (eV/f.u.) = -5.5
- uncorrected energy (eV/f.u.) = -24.8

CIF file:
```
data_PaS2I
_space_group_name_H-M_alt 'P m m n'
_space_group_IT_number 59
_cell_length_a 4.248
_cell_length_b 6.653
_cell_length_c 9.686
_cell_angle_alpha 90.00
_cell_angle_beta 90.00
_cell_angle_gamma 90.00
loop_
_space_group_symop_operation_xyz
'x,y,z'
'-x,-y,-z'
'-x+1/2,-y+1/2,z'
'x+1/2,y+1/2,-z'
'x+1/2,-y,-z'
'-x+1/2,y,z'
'-x,y+1/2,-z'
'x,-y+1/2,z'
loop_
_atom_site_label
_atom_site_type_symbol
_atom_site_fract_x
_atom_site_fract_y
_atom_site_fract_z
Pa1 Pa 0.250 0.250 0.095
S1 S 0.250 0.501 0.871
I1 I 0.250 0.250 0.397
```


No. 11
Here is an optimized crystal structure of PaSI from Alexandria. Energies are from PBE-GGA.

Results
- spin magnetization (μB/atom) = 0.487
- formation energy from raw total energies (eV/f.u.) = -3.6
- uncorrected energy (eV/f.u.) = -18.8

CIF file:
```
data_PaSI
_space_group_name_H-M_alt 'R -3 m'
_space_group_IT_number 166
_space_group_name_Hall '-R 3 2"'
_cell_length_a 4.5912
_cell_length_b 4.5912
_cell_length_c 34.1995
_cell_angle_alpha 90.00
_cell_angle_beta 90.00
_cell_angle_gamma 120.00
loop_
_atom_site_label
_atom_site_type_symbol
_atom_site_fract_x
_atom_site_fract_y
_atom_site_fract_z
Pa1 Pa 0.0000 0.0000 0.2122
S1 S 0.0000 0.0000 0.1331
I1 I 0.0000 0.0000 0.3933
```


No. 12
Here is an optimized crystal structure of PaS2I8 from Alexandria. Energies are from PBE-GGA.

Results
- spin magnetization (μB/atom) = 0.000
- formation energy from raw total energies (eV/f.u.) = -4.4
- uncorrected energy (eV/f.u.) = -34.5

CIF file:
```
data_PaS2I8
_space_group_name_H-M_alt 'C 1 2/m 1'
_space_group_IT_number 12
_cell_length_a 12.303
_cell_length_b 13.443
_cell_length_c 7.900
_cell_angle_alpha 90.00
_cell_angle_beta 117.83
_cell_angle_gamma 90.00
loop_
_space_group_symop_operation_xyz
'x,y,z'
'-x,-y,-z'
'-x,y,-z'
'x,-y,z'
'x+1/2,y+1/2,z'
'-x+1/2,-y+1/2,-z'
'-x+1/2,y+1/2,-z'
'x+1/2,-y+1/2,z'
loop_
_atom_site_label
_atom_site_type_symbol
_atom_site_fract_x
_atom_site_fract_y
_atom_site_fract_z
Pa1 Pa 0.000 0.000 0.000
S1 S 0.107 0.000 0.776
I1 I 0.072 0.189 0.830
I2 I 0.120 0.500 0.026
I3 I 0.241 0.000 0.343
```


No. 13
Here is an optimized crystal structure of PaS6I2 from Alexandria. Energies are from PBE-GGA.

Results
- spin magnetization (μB/atom) = 0.000
- formation energy from raw total energies (eV/f.u.) = -4.0
- uncorrected energy (eV/f.u.) = -41.3

CIF file:
```
data_PaS6I2
_space_group_name_H-M_alt 'P -1'
_space_group_IT_number 2
_cell_length_a 4.417
_cell_length_b 7.468
_cell_length_c 8.169
_cell_angle_alpha 86.66
_cell_angle_beta 88.03
_cell_angle_gamma 85.95
loop_
_space_group_symop_operation_xyz
'x,y,z'
'-x,-y,-z'
loop_
_atom_site_label
_atom_site_type_symbol
_atom_site_fract_x
_atom_site_fract_y
_atom_site_fract_z
Pa1 Pa 0.000 0.000 0.000
S1 S 0.286 0.979 0.305
S2 S 0.395 0.830 0.735
S3 S 0.479 0.241 0.025
I1 I 0.082 0.331 0.731
```


No. 14
Here is an optimized crystal structure of PaSI2 from Alexandria. Energies are from PBE-GGA.

Results
- spin magnetization (μB/atom) = 0.251
- formation energy from raw total energies (eV/f.u.) = -4.3
- uncorrected energy (eV/f.u.) = -21.0

CIF file:
```
data_PaSI2
_space_group_name_H-M_alt 'I m m m'
_space_group_IT_number 71
_space_group_name_Hall '-I 2 2'
_cell_length_a 4.385
_cell_length_b 5.186
_cell_length_c 15.600
_cell_angle_alpha 90.00
_cell_angle_beta 90.00
_cell_angle_gamma 90.00
loop_
_atom_site_label
_atom_site_type_symbol
_atom_site_fract_x
_atom_site_fract_y
_atom_site_fract_z
Pa1 Pa 0.000 0.000 0.000
S1 S 0.000 0.500 0.000
I1 I 0.000 0.500 0.358
```


No. 15
Here is an optimized crystal structure of PaS3I from Alexandria. Energies are from PBE-GGA.

Results
- spin magnetization (μB/atom) = 0.000
- formation energy from raw total energies (eV/f.u.) = -4.9
- uncorrected energy (eV/f.u.) = -28.4

CIF file:
```
data_PaS3I
_space_group_name_H-M_alt 'P 1 21/m 1'
_space_group_IT_number 11
_cell_length_a 3.974
_cell_length_b 8.961
_cell_length_c 8.712
_cell_angle_alpha 90.00
_cell_angle_beta 95.35
_cell_angle_gamma 90.00
loop_
_space_group_symop_operation_xyz
'x,y,z'
'-x,-y,-z'
'-x,y+1/2,-z'
'x,-y+1/2,z'
loop_
_atom_site_label
_atom_site_type_symbol
_atom_site_fract_x
_atom_site_fract_y
_atom_site_fract_z
Pa1 Pa 0.155 0.250 0.467
S1 S 0.334 0.556 0.405
S2 S 0.352 0.750 0.732
I1 I 0.110 0.250 0.824
```


No. 16
Here is an optimized crystal structure of PaS2I from Alexandria. Energies are from PBE-GGA.

Results
- spin magnetization (μB/atom) = 0.000
- formation energy from raw total energies (eV/f.u.) = -4.8
- uncorrected energy (eV/f.u.) = -24.1

CIF file:
```
data_PaS2I
_space_group_name_H-M_alt 'C 1 m 1'
_space_group_IT_number 8
_cell_length_a 9.544
_cell_length_b 3.843
_cell_length_c 8.140
_cell_angle_alpha 90.00
_cell_angle_beta 92.32
_cell_angle_gamma 90.00
loop_
_space_group_symop_operation_xyz
'x,y,z'
'x,-y,z'
'x+1/2,y+1/2,z'
'x+1/2,-y+1/2,z'
loop_
_atom_site_label
_atom_site_type_symbol
_atom_site_fract_x
_atom_site_fract_y
_atom_site_fract_z
Pa1 Pa 0.000 0.000 0.000
S1 S 0.069 0.500 0.804
S2 S 0.300 0.000 0.022
I1 I 0.083 0.500 0.297
```


No. 17
Here is an optimized crystal structure of PaS3I from Alexandria. Energies are from PBE-GGA.

Results
- spin magnetization (μB/atom) = 0.326
- formation energy from raw total energies (eV/f.u.) = -3.1
- uncorrected energy (eV/f.u.) = -26.5

CIF file:
```
data_PaS3I
_space_group_name_H-M_alt 'P m -3 m'
_space_group_IT_number 221
_space_group_name_Hall '-P 4 2 3'
_cell_length_a 5.261
_cell_length_b 5.261
_cell_length_c 5.261
_cell_angle_alpha 90.00
_cell_angle_beta 90.00
_cell_angle_gamma 90.00
loop_
_atom_site_label
_atom_site_type_symbol
_atom_site_fract_x
_atom_site_fract_y
_atom_site_fract_z
Pa1 Pa 0.000 0.000 0.000
S1 S 0.000 0.000 0.500
I1 I 0.500 0.500 0.500
```


No. 18
Here is an optimized crystal structure of PaS4I from Alexandria. Energies are from PBE-GGA.

Results
- spin magnetization (μB/atom) = 0.000
- formation energy from raw total energies (eV/f.u.) = -5.6
- uncorrected energy (eV/f.u.) = -33.1

CIF file:
```
data_PaS4I
_space_group_name_H-M_alt 'P -1'
_space_group_IT_number 2
_cell_length_a 7.529
_cell_length_b 7.945
_cell_length_c 8.029
_cell_angle_alpha 61.53
_cell_angle_beta 89.92
_cell_angle_gamma 89.91
loop_
_space_group_symop_operation_xyz
'x,y,z'
'-x,-y,-z'
loop_
_atom_site_label
_atom_site_type_symbol
_atom_site_fract_x
_atom_site_fract_y
_atom_site_fract_z
Pa1 Pa 0.250 0.062 0.452
S1 S 0.016 0.943 0.775
S2 S 0.017 0.778 0.442
S3 S 0.483 0.942 0.775
S4 S 0.484 0.779 0.442
I1 I 0.250 0.466 0.141
```


No. 19
Here is an optimized crystal structure of Pa2S4I from Alexandria. Energies are from PBE-GGA.

Results
- spin magnetization (μB/atom) = 0.154
- formation energy from raw total energies (eV/f.u.) = -10.0
- uncorrected energy (eV/f.u.) = -47.1

CIF file:
```
data_Pa2S4I
_space_group_name_H-M_alt 'I m a 2'
_space_group_IT_number 46
_cell_length_a 8.120
_cell_length_b 13.426
_cell_length_c 6.917
_cell_angle_alpha 90.00
_cell_angle_beta 90.00
_cell_angle_gamma 90.00
loop_
_space_group_symop_operation_xyz
'x,y,z'
'-x,-y,z'
'-x+1/2,y,z'
'x+1/2,-y,z'
'x+1/2,y+1/2,z+1/2'
'-x+1/2,-y+1/2,z+1/2'
'-x,y+1/2,z+1/2'
'x,-y+1/2,z+1/2'
loop_
_atom_site_label
_atom_site_type_symbol
_atom_site_fract_x
_atom_site_fract_y
_atom_site_fract_z
Pa1 Pa 0.000 0.000 0.000
Pa2 Pa 0.250 0.196 0.588
S1 S 0.030 0.197 0.872
S2 S 0.250 0.000 0.734
S3 S 0.250 0.106 0.228
I1 I 0.250 0.632 0.735
```


No. 20
Here is an optimized crystal structure of Pa2SI8 from Alexandria. Energies are from PBE-GGA.

Results
- spin magnetization (μB/atom) = 0.000
- formation energy from raw total energies (eV/f.u.) = -10.7
- uncorrected energy (eV/f.u.) = -46.3

CIF file:
```
data_Pa2SI8
_space_group_name_H-M_alt 'C 1 2/m 1'
_space_group_IT_number 12
_cell_length_a 11.792
_cell_length_b 12.119
_cell_length_c 8.884
_cell_angle_alpha 90.00
_cell_angle_beta 93.69
_cell_angle_gamma 90.00
loop_
_space_group_symop_operation_xyz
'x,y,z'
'-x,-y,-z'
'-x,y,-z'
'x,-y,z'
'x+1/2,y+1/2,z'
'-x+1/2,-y+1/2,-z'
'-x+1/2,y+1/2,-z'
'x+1/2,-y+1/2,z'
loop_
_atom_site_label
_atom_site_type_symbol
_atom_site_fract_x
_atom_site_fract_y
_atom_site_fract_z
Pa1 Pa 0.088 0.000 0.245
S1 S 0.000 0.000 0.500
I1 I 0.080 0.239 0.237
I2 I 0.157 0.000 0.912
I3 I 0.176 0.500 0.646
```